The following is a DFT calculation (PBE) of AuS6Br after structural relaxation.

Output
Crystal system: cubic
Uncorrected energy (eV per atom): -2.648

Cell lengths 6.5430, 6.5430, 6.5430 Å; angles 60.00, 60.00, 60.00 degrees
Last column: nearest neighbours and their distance in Å.
Positions (direct):
Au1 0.0000 0.0000 0.0000  12 S 3.32
S1 0.5639 0.5639 0.9361  4 S 2.44
S2 0.5639 0.9361 0.5639  4 S 2.44
S3 0.5639 0.9361 0.9361  4 S 2.44
S4 0.9361 0.5639 0.5639  4 S 2.44
S5 0.9361 0.5639 0.9361  4 S 2.44
S6 0.9361 0.9361 0.5639  4 S 2.44
Br1 0.2500 0.2500 0.2500  6 S 2.90

=====

The following is a DFT calculation (PBE) of CuTePbF after structural relaxation.

Output
Crystal system: orthorhombic
Distance to the lowest polymorph of the same formula (eV/atom): 0.253

Cell lengths 9.6106, 19.2279, 4.1948 Å; angles 90.00, 90.00, 90.00 degrees
Last column: nearest neighbours and their distance in Å.
Positions (direct):
Cu1 0.1100 0.1246 0.0000  2 F 2.37, 1 Cu 2.53, 2 Te 2.54-2.57
Cu2 0.1301 0.6039 0.0000  2 F 2.34, 1 Te 2.51, 1 Cu 2.53
Cu3 0.3699 0.1039 0.0000  2 F 2.34, 1 Te 2.51, 1 Cu 2.53
Cu4 0.3900 0.6246 0.0000  2 F 2.37, 1 Cu 2.53, 2 Te 2.54-2.57
Cu5 0.6100 0.3754 0.0000  2 F 2.37, 1 Cu 2.53, 2 Te 2.54-2.57
Cu6 0.6301 0.8961 0.0000  2 F 2.34, 1 Te 2.51, 1 Cu 2.53
Cu7 0.8699 0.3961 0.0000  2 F 2.34, 1 Te 2.51, 1 Cu 2.53
Cu8 0.8900 0.8754 0.0000  2 F 2.37, 1 Cu 2.53, 2 Te 2.54-2.57
Te1 0.2066 0.0017 0.0000  2 Cu 2.51-2.54
Te2 0.2287 0.7313 0.0000  2 Cu 2.57-2.63
Te3 0.2713 0.2313 0.0000  2 Cu 2.57-2.63
Te4 0.2934 0.5017 0.0000  2 Cu 2.51-2.54
Te5 0.7066 0.4983 0.0000  2 Cu 2.51-2.54
Te6 0.7287 0.7687 0.0000  2 Cu 2.57-2.63
Te7 0.7713 0.2687 0.0000  2 Cu 2.57-2.63
Te8 0.7934 0.9983 0.0000  2 Cu 2.51-2.54
Pb1 0.0070 0.2637 0.5000  2 F 2.46-2.54
Pb2 0.2412 0.3986 0.5000  2 F 2.53-2.55
Pb3 0.2588 0.8986 0.5000  2 F 2.53-2.55
Pb4 0.4930 0.7637 0.5000  2 F 2.46-2.54
Pb5 0.5070 0.2363 0.5000  2 F 2.46-2.54
Pb6 0.7412 0.1014 0.5000  2 F 2.53-2.55
Pb7 0.7588 0.6014 0.5000  2 F 2.53-2.55
Pb8 0.9930 0.7363 0.5000  2 F 2.46-2.54
F1 0.0030 0.8644 0.5000  2 Cu 2.37, 2 Pb 2.46-2.55
F2 0.0224 0.6049 0.5000  2 Cu 2.34, 2 Pb 2.53-2.54
F3 0.4776 0.1049 0.5000  2 Cu 2.34, 2 Pb 2.53-2.54
F4 0.4970 0.3644 0.5000  2 Cu 2.37, 2 Pb 2.46-2.55
F5 0.5030 0.6356 0.5000  2 Cu 2.37, 2 Pb 2.46-2.55
F6 0.5224 0.8951 0.5000  2 Cu 2.34, 2 Pb 2.53-2.54
F7 0.9776 0.3951 0.5000  2 Cu 2.34, 2 Pb 2.53-2.54
F8 0.9970 0.1356 0.5000  2 Cu 2.37, 2 Pb 2.46-2.55

=====

The following is a DFT calculation (PBE) of TcMo2Ir after structural relaxation.

Output
DFT formation energy (eV per formula unit): 0.8
Crystal system: cubic
Size of the total moment (μB per cell): 1.3

Cell lengths 4.4278, 4.4278, 4.4278 Å; angles 60.00, 60.00, 60.00 degrees
Last column: nearest neighbours and their distance in Å.
Positions (direct):
Tc1 0.0000 0.0000 0.0000  4 Mo 2.71, 4 Ir 2.71
Mo1 0.2500 0.2500 0.2500  4 Mo 2.71, 4 Tc 2.71
Mo2 0.5000 0.5000 0.5000  4 Ir 2.71, 4 Mo 2.71
Ir1 0.7500 0.7500 0.7500  4 Mo 2.71, 4 Tc 2.71

=====

The following is a DFT calculation (PBE) of HfTe after structural relaxation.

Output
Crystal system: cubic
Uncorrected energy (eV per atom): -6.716
Size of the total moment (μB per cell): 0.0

Cell lengths 4.1151, 4.1151, 4.1151 Å; angles 60.00, 60.00, 60.00 degrees
Last column: nearest neighbours and their distance in Å.
Positions (direct):
Hf1 0.0000 0.0000 0.0000  6 Te 2.91
Te1 0.5000 0.5000 0.5000  6 Hf 2.91